Record 1
# Dy2AuO4

Dy2AuO4 after structural relaxation (PBE, OQMD via LeMat-Bulk).

Results
For the total energy, the calculation gives -6.856 eV/atom.

Cell: 6.771 6.771 6.771 Å, 60.00 60.00 60.00°
Fractional positions:
Dy: 0.000 0.000 0.000
Dy: 0.000 0.000 0.500
Dy: 0.000 0.500 0.000
Dy: 0.500 0.000 0.000
Au: 0.375 0.375 0.375
Au: 0.625 0.625 0.625
O: 0.208 0.764 0.764
O: 0.236 0.236 0.236
O: 0.236 0.236 0.792
O: 0.236 0.792 0.236
O: 0.764 0.208 0.764
O: 0.764 0.764 0.208
O: 0.764 0.764 0.764
O: 0.792 0.236 0.236

Record 2
# Dy2Au2O5

Dy2Au2O5 after structural relaxation (PBE, OQMD via LeMat-Bulk).

Results
For the total energy, the calculation gives -5.973 eV/atom.

Cell: 3.939 3.939 8.899 Å, 90.00 90.00 90.00°
Fractional positions:
Dy: 0.000 0.000 0.247
Dy: 0.000 0.000 0.753
Au: 0.500 0.500 0.000
Au: 0.500 0.500 0.500
O: 0.000 0.000 0.000
O: 0.000 0.500 0.353
O: 0.000 0.500 0.647
O: 0.500 0.000 0.353
O: 0.500 0.000 0.647

Record 3
# Dy2Au2O5

Dy2Au2O5 after structural relaxation (PBE, OQMD via LeMat-Bulk).

Results
For the total energy, the calculation gives -5.772 eV/atom.

Cell: 4.170 4.170 6.961 Å, 90.00 90.00 90.00°
Fractional positions:
Dy: 0.000 0.000 0.000
Dy: 0.000 0.000 0.500
Au: 0.500 0.500 0.191
Au: 0.500 0.500 0.809
O: 0.000 0.500 0.225
O: 0.000 0.500 0.775
O: 0.500 0.000 0.225
O: 0.500 0.000 0.775
O: 0.500 0.500 0.500

Record 4
# DyPAuO

DyPAuO after structural relaxation (PBE, OQMD via LeMat-Bulk).

Results
For the total energy, the calculation gives -5.815 eV/atom.

Cell: 3.785 7.396 5.961 Å, 90.00 90.00 90.00°
Fractional positions:
Dy: 0.000 0.221 0.000
Dy: 0.000 0.779 0.500
P: 0.000 0.158 0.503
P: 0.000 0.842 0.003
Au: 0.500 0.344 0.517
Au: 0.500 0.656 0.017
O: 0.500 0.347 0.017
O: 0.500 0.653 0.517

Record 5
# DyPAuO

DyPAuO after structural relaxation (PBE, OQMD via LeMat-Bulk).

Results
For the total energy, the calculation gives -6.140 eV/atom.

Cell: 4.035 4.035 8.340 Å, 90.00 90.00 90.00°
Fractional positions:
Dy: 0.250 0.250 0.126
Dy: 0.750 0.750 0.874
P: 0.250 0.250 0.691
P: 0.750 0.750 0.309
Au: 0.250 0.750 0.500
Au: 0.750 0.250 0.500
O: 0.250 0.750 0.000
O: 0.750 0.250 0.000

Record 6
# DyPAuO

DyPAuO after structural relaxation (PBE, OQMD via LeMat-Bulk).

Results
For the total energy, the calculation gives -5.837 eV/atom.

Cell: 4.975 6.279 4.493 Å, 90.00 90.00 90.00°
Fractional positions:
Dy: 0.000 0.209 0.000
Dy: 0.000 0.791 0.500
P: 0.500 0.498 0.753
P: 0.500 0.502 0.253
Au: 0.500 0.130 0.495
Au: 0.500 0.870 0.995
O: 0.000 0.137 0.500
O: 0.000 0.863 0.000

Record 7
# DyPAuO

DyPAuO after structural relaxation (PBE, OQMD via LeMat-Bulk).

Results
For the total energy, the calculation gives -5.604 eV/atom.

Cell: 5.699 5.699 4.586 Å, 90.00 90.00 90.00°
Fractional positions:
Dy: 0.250 0.750 0.000
Dy: 0.750 0.250 0.000
P: 0.250 0.250 0.002
P: 0.750 0.750 0.998
Au: 0.250 0.250 0.502
Au: 0.750 0.750 0.498
O: 0.250 0.750 0.500
O: 0.750 0.250 0.500

Record 8
# DyPbAuO3

DyPbAuO3 after structural relaxation (PBE, OQMD via LeMat-Bulk).

Results
For the total energy, the calculation gives -5.400 eV/atom.

Cell: 8.275 8.275 7.804 Å, 90.00 90.00 157.38°
Fractional positions:
Dy: 0.000 0.000 0.000
Dy: 0.000 0.000 0.500
Pb: 0.314 0.686 0.750
Pb: 0.686 0.314 0.250
Au: 0.410 0.590 0.250
Au: 0.590 0.410 0.750
O: 0.127 0.873 0.079
O: 0.127 0.873 0.421
O: 0.277 0.723 0.250
O: 0.723 0.277 0.750
O: 0.873 0.127 0.579
O: 0.873 0.127 0.921

Record 9
# SrDyAuO3

SrDyAuO3 after structural relaxation (PBE, OQMD via LeMat-Bulk).

Results
For the total energy, the calculation gives -6.412 eV/atom.

Cell: 6.731 6.731 8.617 Å, 90.00 90.00 148.47°
Fractional positions:
Sr: 0.179 0.821 0.750
Sr: 0.821 0.179 0.250
Dy: 0.500 0.500 0.000
Dy: 0.500 0.500 0.500
Au: 0.121 0.879 0.250
Au: 0.879 0.121 0.750
O: 0.113 0.887 0.016
O: 0.113 0.887 0.484
O: 0.441 0.559 0.250
O: 0.559 0.441 0.750
O: 0.887 0.113 0.516
O: 0.887 0.113 0.984

Record 10
# DyYAu2O4

DyYAu2O4 after structural relaxation (PBE, OQMD via LeMat-Bulk).

Results
For the total energy, the calculation gives -6.911 eV/atom.

Cell: 3.549 3.549 12.140 Å, 90.00 90.00 120.00°
Fractional positions:
Dy: 0.000 0.000 0.000
Y: 0.000 0.000 0.500
Au: 0.333 0.667 0.250
Au: 0.667 0.333 0.750
O: 0.333 0.667 0.082
O: 0.333 0.667 0.418
O: 0.667 0.333 0.582
O: 0.667 0.333 0.918

Record 11
# DySi2OsAu

DySi2OsAu after structural relaxation (PBE, OQMD via LeMat-Bulk).

Results
For the total energy, the calculation gives -6.514 eV/atom.

Cell: 4.082 4.082 10.326 Å, 90.00 90.00 90.00°
Fractional positions:
Dy: 0.000 0.000 0.000
Dy: 0.500 0.500 0.500
Si: 0.000 0.000 0.387
Si: 0.000 0.000 0.613
Si: 0.500 0.500 0.113
Si: 0.500 0.500 0.887
Os: 0.000 0.500 0.250
Os: 0.500 0.000 0.750
Au: 0.000 0.500 0.750
Au: 0.500 0.000 0.250

Record 12
# PrDyP4Au2

PrDyP4Au2 after structural relaxation (PBE, OQMD via LeMat-Bulk).

Results
For the total energy, the calculation gives -5.364 eV/atom.

Cell: 3.942 3.942 10.129 Å, 90.00 90.00 90.00°
Fractional positions:
Pr: 0.000 0.000 0.000
Dy: 0.500 0.500 0.550
P: 0.000 0.000 0.465
P: 0.000 0.500 0.768
P: 0.500 0.000 0.768
P: 0.500 0.500 0.100
Au: 0.000 0.500 0.282
Au: 0.500 0.000 0.282

Record 13
# TbDyP4Au2

TbDyP4Au2 after structural relaxation (PBE, OQMD via LeMat-Bulk).

Results
For the total energy, the calculation gives -5.356 eV/atom.

Cell: 3.896 3.896 9.988 Å, 90.00 90.00 90.00°
Fractional positions:
Tb: 0.000 0.000 0.000
Dy: 0.500 0.500 0.553
P: 0.000 0.000 0.468
P: 0.000 0.500 0.776
P: 0.500 0.000 0.776
P: 0.500 0.500 0.087
Au: 0.000 0.500 0.277
Au: 0.500 0.000 0.277

Record 14
# DyPbAuSe2S

DyPbAuSe2S after structural relaxation (PBE, OQMD via LeMat-Bulk).

Results
For the total energy, the calculation gives -4.721 eV/atom.

Cell: 7.177 7.177 10.357 Å, 90.00 90.00 146.77°
Fractional positions:
Dy: 0.000 0.000 0.000
Dy: 0.000 0.000 0.500
Pb: 0.251 0.749 0.750
Pb: 0.749 0.251 0.250
Au: 0.469 0.531 0.250
Au: 0.531 0.469 0.750
Se: 0.353 0.647 0.051
Se: 0.353 0.647 0.449
Se: 0.647 0.353 0.551
Se: 0.647 0.353 0.949
S: 0.083 0.917 0.250
S: 0.917 0.083 0.750

Record 15
# DyTe2PbAuS

DyTe2PbAuS after structural relaxation (PBE, OQMD via LeMat-Bulk).

Results
For the total energy, the calculation gives -4.445 eV/atom.

Cell: 7.684 7.684 10.368 Å, 90.00 90.00 147.56°
Fractional positions:
Dy: 0.000 0.000 0.000
Dy: 0.000 0.000 0.500
Te: 0.350 0.650 0.555
Te: 0.350 0.650 0.945
Te: 0.650 0.350 0.055
Te: 0.650 0.350 0.445
Pb: 0.267 0.733 0.250
Pb: 0.733 0.267 0.750
Au: 0.480 0.520 0.750
Au: 0.520 0.480 0.250
S: 0.077 0.923 0.750
S: 0.923 0.077 0.250

Record 16
# DyTe2PbAuSe

DyTe2PbAuSe after structural relaxation (PBE, OQMD via LeMat-Bulk).

Results
For the total energy, the calculation gives -4.329 eV/atom.

Cell: 7.745 7.745 10.580 Å, 90.00 90.00 148.21°
Fractional positions:
Dy: 0.000 0.000 0.000
Dy: 0.000 0.000 0.500
Te: 0.350 0.650 0.552
Te: 0.350 0.650 0.948
Te: 0.650 0.350 0.052
Te: 0.650 0.350 0.448
Pb: 0.251 0.749 0.250
Pb: 0.749 0.251 0.750
Au: 0.472 0.528 0.750
Au: 0.528 0.472 0.250
Se: 0.083 0.917 0.750
Se: 0.917 0.083 0.250

Record 17
# DyTe3PbAu

DyTe3PbAu after structural relaxation (PBE, OQMD via LeMat-Bulk).

Results
For the total energy, the calculation gives -4.208 eV/atom.

Cell: 8.357 4.312 10.677 Å, 90.00 107.02 90.00°
Fractional positions:
Dy: 0.203 0.250 0.178
Dy: 0.797 0.750 0.822
Te: 0.077 0.250 0.872
Te: 0.213 0.250 0.466
Te: 0.456 0.750 0.158
Te: 0.544 0.250 0.842
Te: 0.787 0.750 0.534
Te: 0.923 0.750 0.128
Pb: 0.230 0.750 0.708
Pb: 0.770 0.250 0.292
Au: 0.404 0.750 0.402
Au: 0.596 0.250 0.598

Record 18
# DyTe3PbAu

DyTe3PbAu after structural relaxation (PBE, OQMD via LeMat-Bulk).

Results
For the total energy, the calculation gives -4.211 eV/atom.

Cell: 7.768 7.768 11.161 Å, 90.00 90.00 147.97°
Fractional positions:
Dy: 0.000 0.000 0.000
Dy: 0.000 0.000 0.500
Te: 0.092 0.908 0.750
Te: 0.353 0.647 0.552
Te: 0.353 0.647 0.948
Te: 0.647 0.353 0.052
Te: 0.647 0.353 0.448
Te: 0.908 0.092 0.250
Pb: 0.225 0.775 0.250
Pb: 0.775 0.225 0.750
Au: 0.467 0.533 0.750
Au: 0.533 0.467 0.250

Record 19
# DyTe3PbAu

DyTe3PbAu after structural relaxation (PBE, OQMD via LeMat-Bulk).

Results
For the total energy, the calculation gives -4.180 eV/atom.

Cell: 10.194 10.194 8.816 Å, 100.65 100.65 24.34°
Fractional positions:
Dy: 0.159 0.159 0.091
Dy: 0.841 0.841 0.909
Te: 0.000 0.000 0.000
Te: 0.311 0.311 0.652
Te: 0.321 0.321 0.146
Te: 0.500 0.500 0.500
Te: 0.679 0.679 0.854
Te: 0.689 0.689 0.348
Pb: 0.123 0.123 0.577
Pb: 0.877 0.877 0.423
Au: 0.447 0.447 0.787
Au: 0.553 0.553 0.213

Record 20
# DyTe3PbAu

DyTe3PbAu after structural relaxation (PBE, OQMD via LeMat-Bulk).

Results
For the total energy, the calculation gives -4.215 eV/atom.

Cell: 10.688 4.545 15.982 Å, 90.00 90.00 90.00°
Fractional positions:
Dy: 0.174 0.250 0.033
Dy: 0.326 0.750 0.533
Dy: 0.674 0.250 0.467
Dy: 0.826 0.750 0.967
Te: 0.020 0.750 0.131
Te: 0.149 0.250 0.471
Te: 0.216 0.750 0.709
Te: 0.284 0.250 0.209
Te: 0.351 0.750 0.971
Te: 0.480 0.250 0.631
Te: 0.520 0.750 0.369
Te: 0.649 0.250 0.029
Te: 0.716 0.750 0.791
Te: 0.784 0.250 0.291
Te: 0.851 0.750 0.529
Te: 0.980 0.250 0.869
Pb: 0.037 0.250 0.660
Pb: 0.463 0.750 0.160
Pb: 0.537 0.250 0.840
Pb: 0.963 0.750 0.340
Au: 0.114 0.750 0.903
Au: 0.386 0.250 0.403
Au: 0.614 0.750 0.597
Au: 0.886 0.250 0.097

Record 21
# DyTe3PbAu

DyTe3PbAu after structural relaxation (PBE, OQMD via LeMat-Bulk).

Results
For the total energy, the calculation gives -4.157 eV/atom.

Cell: 12.602 4.466 12.671 Å, 90.00 90.00 90.00°
Fractional positions:
Dy: 0.036 0.250 0.193
Dy: 0.464 0.750 0.693
Dy: 0.536 0.250 0.307
Dy: 0.964 0.750 0.807
Te: 0.024 0.750 0.365
Te: 0.091 0.250 0.935
Te: 0.214 0.750 0.675
Te: 0.286 0.250 0.175
Te: 0.409 0.750 0.435
Te: 0.476 0.250 0.865
Te: 0.524 0.750 0.135
Te: 0.591 0.250 0.565
Te: 0.714 0.750 0.825
Te: 0.786 0.250 0.325
Te: 0.909 0.750 0.065
Te: 0.976 0.250 0.635
Pb: 0.204 0.250 0.469
Pb: 0.296 0.750 0.969
Pb: 0.704 0.250 0.031
Pb: 0.796 0.750 0.531
Au: 0.228 0.750 0.295
Au: 0.272 0.250 0.795
Au: 0.728 0.750 0.205
Au: 0.772 0.250 0.705